This record from Alexandria describes crystalline Nd6HoIn at its relaxed geometry. The functional is GGA-PBE.

Cell and atoms, written as POSCAR:
```
Nd6HoIn
1.0
5.0319 0.0000 0.0000
0.0000 5.0319 0.0000
0.0000 0.0000 10.3182
In Nd Ho
1 6 1
Direct
0.0000 0.0000 0.0000
0.5000 0.5000 0.5000
0.5000 0.5000 0.0000
0.0000 0.5000 0.7566
0.5000 0.0000 0.7566
0.5000 0.0000 0.2434
0.0000 0.5000 0.2434
0.0000 0.0000 0.5000
```

ΔH_f (0 K): -11.7 kJ/mol of atoms

=====

This record from Alexandria describes crystalline HfCuRePb2 at its relaxed geometry. The functional is GGA-PBE.

Cell and atoms, written as POSCAR:
```
HfCuRePb2
1.0
-0.0469 4.8854 0.5119
-4.9456 0.0305 -0.7439
-0.7298 -0.5131 4.8306
Hf Cu Re Pb
1 1 1 2
Direct
0.0000 0.5000 0.0000
0.0000 0.0000 0.0000
0.5000 0.5000 0.5000
0.0000 0.0000 0.5000
0.5000 0.0000 0.0000
```

ΔH_f (0 K): 128.3 kJ/mol of atoms

=====

This record from Alexandria describes crystalline Zr2ScTc2 at its relaxed geometry. The functional is GGA-PBE.

Cell and atoms, written as POSCAR:
```
Zr2ScTc2
1.0
-2.9219 6.7101 2.0699
-6.8791 -3.1853 0.6152
0.6263 -0.7268 3.2402
Zr Tc Sc
4 4 2
Direct
0.8487 0.3487 0.5000
0.6513 0.8487 0.5000
0.3487 0.1513 0.5000
0.1513 0.6513 0.5000
0.3522 0.8522 0.0000
0.6478 0.1478 0.0000
0.8522 0.6478 0.0000
0.1478 0.3522 0.0000
0.5000 0.5000 0.0000
0.0000 0.0000 0.0000
```

ΔH_f (0 K): -11.7 kJ/mol of atoms

=====

This record from Alexandria describes crystalline Pr2IrAu at its relaxed geometry. The functional is GGA-PBE.

Cell and atoms, written as POSCAR:
```
Pr2IrAu
1.0
4.2260 0.0000 0.0000
2.1130 3.6598 0.0000
2.1130 1.2199 7.1917
Ir Pr Au
1 2 1
Direct
0.0000 0.0000 0.0000
0.2605 0.2605 0.2186
0.7395 0.7395 0.7814
0.5000 0.5000 0.5000
```

ΔH_f (0 K): -62.4 kJ/mol of atoms

=====

Repeat the third record exactly.
This record from Alexandria describes crystalline Zr2ScTc2 at its relaxed geometry. The functional is GGA-PBE.

Cell and atoms, written as POSCAR:
```
Zr2ScTc2
1.0
-2.9219 6.7101 2.0699
-6.8791 -3.1853 0.6152
0.6263 -0.7268 3.2402
Zr Tc Sc
4 4 2
Direct
0.8487 0.3487 0.5000
0.6513 0.8487 0.5000
0.3487 0.1513 0.5000
0.1513 0.6513 0.5000
0.3522 0.8522 0.0000
0.6478 0.1478 0.0000
0.8522 0.6478 0.0000
0.1478 0.3522 0.0000
0.5000 0.5000 0.0000
0.0000 0.0000 0.0000
```

ΔH_f (0 K): -11.7 kJ/mol of atoms

=====

- Which of these has the highest ΔH_f (0 K)?
  HfCuRePb2